1.
A relaxed ReMoN crystal. Source: the Alexandria database, functional PBE. Values from VASP.

Structure (Quantum ESPRESSO input):
```
&SYSTEM
  ibrav = 0, nat = 12, ntyp = 3
/
ATOMIC_SPECIES
Re 186.21 Re.upf
Mo 95.94 Mo.upf
N 14.01 N.upf
ATOMIC_POSITIONS crystal
Re 0.0107 0.2500 0.2111
Re 0.4893 0.7500 0.7111
Re 0.5107 0.2500 0.2889
Re 0.9893 0.7500 0.7889
Mo 0.2458 0.2500 0.8982
Mo 0.2542 0.7500 0.3982
Mo 0.7458 0.2500 0.6018
Mo 0.7542 0.7500 0.1018
N 0.1161 0.2500 0.5853
N 0.3839 0.7500 0.0853
N 0.6161 0.2500 0.9147
N 0.8839 0.7500 0.4147
CELL_PARAMETERS angstrom
9.6378 0.0000 0.0000
0.0000 2.8782 0.0000
0.0000 0.0000 5.1828
```

- offset from the most stable computed form (eV/atom) = 0.000
- Fermi-level density of states (states/eV/cell) = 7.673
- size of the total moment (μB per cell) = 0.0
- symmetry = No. 62

2.
A relaxed Pr2InNi crystal. Source: the Alexandria database, functional PBE. Values from VASP.

Structure (Quantum ESPRESSO input):
```
&SYSTEM
  ibrav = 0, nat = 12, ntyp = 3
/
ATOMIC_SPECIES
Pr 140.91 Pr.upf
In 114.82 In.upf
Ni 58.69 Ni.upf
ATOMIC_POSITIONS crystal
Pr 0.0000 0.0000 0.2336
Pr 0.0000 0.0000 0.7664
Pr 0.3333 0.6667 0.4331
Pr 0.3333 0.6667 0.9003
Pr 0.6667 0.3333 0.0997
Pr 0.6667 0.3333 0.5669
In 0.0000 0.0000 0.0000
In 0.3333 0.6667 0.6667
In 0.6667 0.3333 0.3333
Ni 0.0000 0.0000 0.5000
Ni 0.3333 0.6667 0.1667
Ni 0.6667 0.3333 0.8333
CELL_PARAMETERS angstrom
3.9383 0.0000 0.0000
-1.9692 3.4107 0.0000
0.0000 0.0000 25.5704
```

- Fermi-level density of states (states/eV/cell) = 12.283
- energy relative to the elements (eV per atom) = -0.213
- size of the total moment (μB per cell) = 0.0
- symmetry = No. 166

3.
A relaxed KLaCu2 crystal. Source: the Alexandria database, functional PBE. Values from VASP.

Structure (Quantum ESPRESSO input):
```
&SYSTEM
  ibrav = 0, nat = 16, ntyp = 3
/
ATOMIC_SPECIES
K 39.10 K.upf
La 138.91 La.upf
Cu 63.55 Cu.upf
ATOMIC_POSITIONS crystal
K 0.0000 0.0000 0.0000
K 0.0000 0.5000 0.5000
K 0.5000 0.0000 0.5000
K 0.5000 0.5000 0.0000
La 0.0000 0.0000 0.5000
La 0.0000 0.5000 0.0000
La 0.5000 0.0000 0.0000
La 0.5000 0.5000 0.5000
Cu 0.2500 0.2500 0.2500
Cu 0.2500 0.2500 0.7500
Cu 0.2500 0.7500 0.2500
Cu 0.2500 0.7500 0.7500
Cu 0.7500 0.2500 0.2500
Cu 0.7500 0.2500 0.7500
Cu 0.7500 0.7500 0.2500
Cu 0.7500 0.7500 0.7500
CELL_PARAMETERS angstrom
7.3943 0.0000 0.0000
0.0000 7.3943 0.0000
0.0000 0.0000 7.3943
```

- offset from the most stable computed form (eV/atom) = 0.199
- Fermi-level density of states (states/eV/cell) = 13.410
- energy relative to the elements (eV per atom) = 0.283
- size of the total moment (μB per cell) = 0.0
- symmetry = No. 225

4.
A relaxed MnFe crystal. Source: the Alexandria database, functional PBE. Values from VASP.

Structure (Quantum ESPRESSO input):
```
&SYSTEM
  ibrav = 0, nat = 8, ntyp = 2
/
ATOMIC_SPECIES
Mn 54.94 Mn.upf
Fe 55.84 Fe.upf
ATOMIC_POSITIONS crystal
Mn 0.3333 0.6667 0.0771
Mn 0.3333 0.6667 0.4229
Mn 0.6667 0.3333 0.5771
Mn 0.6667 0.3333 0.9229
Fe 0.0000 0.0000 0.2500
Fe 0.0000 0.0000 0.7500
Fe 0.3333 0.6667 0.7500
Fe 0.6667 0.3333 0.2500
CELL_PARAMETERS angstrom
3.9074 0.0000 0.0000
-1.9537 3.3839 0.0000
0.0000 0.0000 6.9857
```

- Fermi-level density of states (states/eV/cell) = 11.244
- energy relative to the elements (eV per atom) = 0.378
- size of the total moment (μB per cell) = 5.2
- symmetry = No. 194

5.
A relaxed TlCd2Pt crystal. Source: the Alexandria database, functional PBE. Values from VASP.

Structure (Quantum ESPRESSO input):
```
&SYSTEM
  ibrav = 0, nat = 16, ntyp = 3
/
ATOMIC_SPECIES
Tl 204.38 Tl.upf
Cd 112.41 Cd.upf
Pt 195.08 Pt.upf
ATOMIC_POSITIONS crystal
Tl 0.0000 0.0000 0.0000
Tl 0.0000 0.5000 0.2500
Tl 0.5000 0.0000 0.7500
Tl 0.5000 0.5000 0.5000
Cd 0.2248 0.2500 0.6250
Cd 0.2500 0.7248 0.8750
Cd 0.2500 0.7752 0.3750
Cd 0.2752 0.2500 0.1250
Cd 0.7248 0.7500 0.1250
Cd 0.7500 0.2248 0.3750
Cd 0.7500 0.2752 0.8750
Cd 0.7752 0.7500 0.6250
Pt 0.0000 0.0000 0.5000
Pt 0.0000 0.5000 0.7500
Pt 0.5000 0.0000 0.2500
Pt 0.5000 0.5000 0.0000
CELL_PARAMETERS angstrom
4.2639 0.0000 0.0000
0.0000 4.2639 0.0000
0.0000 0.0000 20.0867
```

- offset from the most stable computed form (eV/atom) = 0.227
- Fermi-level density of states (states/eV/cell) = 5.092
- energy relative to the elements (eV per atom) = 0.071
- size of the total moment (μB per cell) = 0.0
- symmetry = No. 122

6.
A relaxed BaTa2Sb crystal. Source: the Alexandria database, functional PBE. Values from VASP.

Structure (Quantum ESPRESSO input):
```
&SYSTEM
  ibrav = 0, nat = 8, ntyp = 3
/
ATOMIC_SPECIES
Ba 137.33 Ba.upf
Ta 180.95 Ta.upf
Sb 121.76 Sb.upf
ATOMIC_POSITIONS crystal
Ba 0.0000 0.0000 0.0000
Ba 0.5000 0.5000 0.5000
Ta 0.0000 0.0000 0.5188
Ta 0.0000 0.5000 0.2077
Ta 0.5000 0.0000 0.7077
Ta 0.5000 0.5000 0.0188
Sb 0.0000 0.5000 0.7930
Sb 0.5000 0.0000 0.2930
CELL_PARAMETERS angstrom
3.2887 0.0000 0.0000
0.0000 5.7582 0.0000
0.0000 0.0000 11.1068
```

- Fermi-level density of states (states/eV/cell) = 8.361
- size of the total moment (μB per cell) = 0.0
- total DFT energy (no corrections) (eV/cell) = -53.8
- symmetry = No. 44

7.
A relaxed YCu6O12 crystal. Source: the Alexandria database, functional PBE. Values from VASP.

Structure (Quantum ESPRESSO input):
```
&SYSTEM
  ibrav = 0, nat = 19, ntyp = 3
/
ATOMIC_SPECIES
Y 88.91 Y.upf
Cu 63.55 Cu.upf
O 16.00 O.upf
ATOMIC_POSITIONS crystal
Y 0.0000 0.0000 0.0000
Cu 0.1637 0.6637 0.5000
Cu 0.3363 0.5000 0.8363
Cu 0.5000 0.1637 0.6637
Cu 0.5000 0.8363 0.3363
Cu 0.6637 0.5000 0.1637
Cu 0.8363 0.3363 0.5000
O 0.1498 0.3292 0.4790
O 0.1498 0.6708 0.8206
O 0.1794 0.8502 0.3292
O 0.3292 0.1794 0.8502
O 0.3292 0.4790 0.1498
O 0.4790 0.1498 0.3292
O 0.5210 0.8502 0.6708
O 0.6708 0.5210 0.8502
O 0.6708 0.8206 0.1498
O 0.8206 0.1498 0.6708
O 0.8502 0.3292 0.1794
O 0.8502 0.6708 0.5210
CELL_PARAMETERS angstrom
-3.7386 3.7386 3.7386
3.7386 -3.7386 3.7386
3.7386 3.7386 -3.7386
```

- Fermi-level density of states (states/eV/cell) = 17.843
- size of the total moment (μB per cell) = 8.6
- total DFT energy (no corrections) (eV/cell) = -95.2
- symmetry = No. 204

8.
A relaxed TbPm2Hg5 crystal. Source: the Alexandria database, functional PBE. Values from VASP.

Structure (Quantum ESPRESSO input):
```
&SYSTEM
  ibrav = 0, nat = 16, ntyp = 3
/
ATOMIC_SPECIES
Tb 158.93 Tb.upf
Pm 145.00 Pm.upf
Hg 200.59 Hg.upf
ATOMIC_POSITIONS crystal
Tb 0.0000 0.0000 0.0000
Tb 0.5000 0.5000 0.5000
Pm 0.0000 0.0000 0.2655
Pm 0.0000 0.0000 0.7345
Pm 0.5000 0.5000 0.2345
Pm 0.5000 0.5000 0.7655
Hg 0.0000 0.0000 0.5000
Hg 0.0000 0.5000 0.1196
Hg 0.0000 0.5000 0.3804
Hg 0.0000 0.5000 0.6196
Hg 0.0000 0.5000 0.8804
Hg 0.5000 0.0000 0.1196
Hg 0.5000 0.0000 0.3804
Hg 0.5000 0.0000 0.6196
Hg 0.5000 0.0000 0.8804
Hg 0.5000 0.5000 0.0000
CELL_PARAMETERS angstrom
5.2449 0.0000 0.0000
0.0000 5.2449 0.0000
0.0000 0.0000 14.9912
```

- Fermi-level density of states (states/eV/cell) = 11.914
- energy relative to the elements (eV per atom) = -0.423
- size of the total moment (μB per cell) = 0.0
- symmetry = No. 139

9.
A relaxed PrCoGe2Ru crystal. Source: the Alexandria database, functional PBE. Values from VASP.

Structure (Quantum ESPRESSO input):
```
&SYSTEM
  ibrav = 0, nat = 10, ntyp = 4
/
ATOMIC_SPECIES
Pr 140.91 Pr.upf
Co 58.93 Co.upf
Ge 72.64 Ge.upf
Ru 101.07 Ru.upf
ATOMIC_POSITIONS crystal
Pr 0.0000 0.0000 0.0000
Pr 0.5000 0.5000 0.5000
Co 0.0000 0.5000 0.2500
Co 0.5000 0.0000 0.7500
Ge 0.0000 0.0000 0.3686
Ge 0.0000 0.0000 0.6314
Ge 0.5000 0.5000 0.1314
Ge 0.5000 0.5000 0.8686
Ru 0.0000 0.5000 0.7500
Ru 0.5000 0.0000 0.2500
CELL_PARAMETERS angstrom
4.1582 0.0000 0.0000
0.0000 4.1582 0.0000
0.0000 0.0000 10.3366
```

- Fermi-level density of states (states/eV/cell) = 6.328
- energy relative to the elements (eV per atom) = -0.610
- size of the total moment (μB per cell) = 0.0
- symmetry = No. 119

10.
A relaxed YTm2Tl6 crystal. Source: the Alexandria database, functional PBE. Values from VASP.

Structure (Quantum ESPRESSO input):
```
&SYSTEM
  ibrav = 0, nat = 18, ntyp = 3
/
ATOMIC_SPECIES
Y 88.91 Y.upf
Tm 168.93 Tm.upf
Tl 204.38 Tl.upf
ATOMIC_POSITIONS crystal
Y 0.1198 0.8802 0.7500
Y 0.8802 0.1198 0.2500
Tm 0.2122 0.4526 0.5836
Tm 0.4526 0.2122 0.0836
Tm 0.5474 0.7878 0.9164
Tm 0.7878 0.5474 0.4164
Tl 0.0229 0.7528 0.3021
Tl 0.0906 0.3555 0.1401
Tl 0.2472 0.9771 0.1979
Tl 0.3146 0.5773 0.0252
Tl 0.3555 0.0906 0.6401
Tl 0.4227 0.6854 0.4748
Tl 0.5773 0.3146 0.5252
Tl 0.6445 0.9094 0.3599
Tl 0.6854 0.4227 0.9748
Tl 0.7528 0.0229 0.8021
Tl 0.9094 0.6445 0.8599
Tl 0.9771 0.2472 0.6979
CELL_PARAMETERS angstrom
6.9655 -5.6394 0.0000
6.9655 5.6394 0.0000
-0.2778 0.0000 6.3237
```

- Fermi-level density of states (states/eV/cell) = 8.934
- energy relative to the elements (eV per atom) = -0.167
- size of the total moment (μB per cell) = 0.0
- symmetry = No. 15

11.
A relaxed RhPb2S2 crystal. Source: the Alexandria database, functional PBE. Values from VASP.

Structure (Quantum ESPRESSO input):
```
&SYSTEM
  ibrav = 0, nat = 10, ntyp = 3
/
ATOMIC_SPECIES
Rh 102.91 Rh.upf
Pb 207.20 Pb.upf
S 32.06 S.upf
ATOMIC_POSITIONS crystal
Rh 0.1789 0.2491 0.2573
Rh 0.8211 0.7509 0.7427
Pb 0.1547 0.7492 0.3972
Pb 0.2851 0.2504 0.8718
Pb 0.7149 0.7496 0.1282
Pb 0.8453 0.2508 0.6028
S 0.2253 0.2496 0.0893
S 0.3404 0.7513 0.6654
S 0.6596 0.2487 0.3346
S 0.7747 0.7504 0.9107
CELL_PARAMETERS angstrom
4.0681 0.0000 0.0000
0.0003 4.2110 0.0000
1.0815 0.0006 14.1124
```

- Fermi-level density of states (states/eV/cell) = 2.770
- size of the total moment (μB per cell) = 0.0
- total DFT energy (no corrections) (eV/cell) = -48.7
- symmetry = No. 2

12.
A relaxed Na3CeNp3Se8 crystal. Source: the Alexandria database, functional PBE. Values from VASP.

Structure (Quantum ESPRESSO input):
```
&SYSTEM
  ibrav = 0, nat = 15, ntyp = 4
/
ATOMIC_SPECIES
Na 22.99 Na.upf
Ce 140.12 Ce.upf
Np 237.00 Np.upf
Se 78.96 Se.upf
ATOMIC_POSITIONS crystal
Na 0.0000 0.5000 0.5000
Na 0.5000 0.0000 0.5000
Na 0.5000 0.5000 0.0000
Ce 0.5000 0.5000 0.5000
Np 0.0000 0.0000 0.5000
Np 0.0000 0.5000 0.0000
Np 0.5000 0.0000 0.0000
Se 0.2382 0.7448 0.7448
Se 0.2429 0.2429 0.2429
Se 0.2552 0.2552 0.7618
Se 0.2552 0.7618 0.2552
Se 0.7448 0.2382 0.7448
Se 0.7448 0.7448 0.2382
Se 0.7571 0.7571 0.7571
Se 0.7618 0.2552 0.2552
CELL_PARAMETERS angstrom
4.2001 2.4249 6.9669
-4.2001 2.4249 6.9669
0.0000 -4.8499 6.9669
```

- Fermi-level density of states (states/eV/cell) = 30.523
- size of the total moment (μB per cell) = 12.0
- total DFT energy (no corrections) (eV/cell) = -96.0
- symmetry = No. 166